Entry from Alexandria via LeMat-Bulk: a relaxed structure of PuZrCo10 (PBE).

a b c (Å): 3.9678 4.8044 8.3547
angles (deg): 90.00 90.00 90.00
Positions (direct):
Pu1 0.0000 0.0000 0.0000
Zr1 0.0000 0.5000 0.5000
Co1 0.0000 0.0000 0.3359
Co2 0.0000 0.5000 0.8303
Co3 0.0000 0.5000 0.1697
Co4 0.0000 0.0000 0.6641
Co5 0.5000 0.0000 0.5000
Co6 0.5000 0.5000 0.0000
Co7 0.5000 0.2568 0.2584
Co8 0.5000 0.7432 0.7416
Co9 0.5000 0.7432 0.2584
Co10 0.5000 0.2568 0.7416

Output
Formation energy from the elements, meV per atom: 1
VASP energy, eV/atom: -7.8270



Entry from Alexandria via LeMat-Bulk: a relaxed structure of PuZrCo (PBE).

a b c (Å): 3.2504 3.2504 6.1213
angles (deg): 105.40 105.40 90.00
Positions (direct):
Co1 0.6840 0.6840 0.3680
Zr1 0.2990 0.2990 0.5981
Pu1 0.0170 0.0170 0.0339

Output
Energy above the most stable polymorph in this dataset, meV per atom: 47
Formation energy from the elements, meV per atom: 48
VASP energy, eV/atom: -9.9476



Entry from Alexandria via LeMat-Bulk: a relaxed structure of PuZrCo4 (PBE).

a b c (Å): 4.9559 4.9559 4.9559
angles (deg): 60.00 60.00 60.00
Positions (direct):
Co1 0.6250 0.6250 0.1250
Co2 0.6250 0.1250 0.6250
Co3 0.6250 0.6250 0.6250
Co4 0.1250 0.6250 0.6250
Zr1 0.0000 0.0000 0.0000
Pu1 0.2500 0.2500 0.2500

Output
Formation energy from the elements, meV per atom: -199
VASP energy, eV/atom: -8.7494



Entry from Alexandria via LeMat-Bulk: a relaxed structure of PuZr2Co9 (PBE).

a b c (Å): 4.8872 4.8872 8.4167
angles (deg): 73.12 73.12 60.00
Positions (direct):
Pu1 0.0000 0.0000 0.0000
Zr1 0.8602 0.8602 0.4195
Zr2 0.1398 0.1398 0.5805
Co1 0.6646 0.6646 0.0061
Co2 0.3354 0.3354 0.9939
Co3 0.5000 0.5000 0.5000
Co4 0.4131 0.4131 0.2525
Co5 0.9212 0.4131 0.2525
Co6 0.4131 0.9212 0.2525
Co7 0.5869 0.5869 0.7475
Co8 0.5869 0.0788 0.7475
Co9 0.0788 0.5869 0.7475

Output
Formation energy from the elements, meV per atom: -214
VASP energy, eV/atom: -8.1621



Entry from Alexandria via LeMat-Bulk: a relaxed structure of PuZr3Co8 (PBE).

a b c (Å): 4.9185 4.9185 8.5283
angles (deg): 73.24 73.24 60.00
Positions (direct):
Pu1 0.8748 0.8748 0.3756
Zr1 0.3754 0.3754 0.8737
Zr2 0.0006 0.0006 0.9983
Zr3 0.5001 0.5001 0.4997
Co1 0.9393 0.4379 0.1849
Co2 0.4354 0.9369 0.6908
Co3 0.4379 0.4379 0.1849
Co4 0.9369 0.9369 0.6908
Co5 0.1873 0.1873 0.4382
Co6 0.6875 0.6875 0.9375
Co7 0.4379 0.9393 0.1849
Co8 0.9369 0.4354 0.6908

Output
Formation energy from the elements, meV per atom: -254
VASP energy, eV/atom: -8.3229



Entry from Alexandria via LeMat-Bulk: a relaxed structure of Pu2ZrCo (PBE).

a b c (Å): 3.3673 3.3673 7.4496
angles (deg): 90.00 90.00 90.00
Positions (direct):
Co1 0.5000 0.5000 0.0000
Zr1 0.5000 0.5000 0.5000
Pu1 0.0000 0.0000 0.7935
Pu2 0.0000 0.0000 0.2065

Output
Formation energy from the elements, meV per atom: 133
VASP energy, eV/atom: -10.9464



Entry from Alexandria via LeMat-Bulk: a relaxed structure of PuZrCo (PBE).

a b c (Å): 4.6981 6.3247 5.2227
angles (deg): 54.54 63.27 68.20
Positions (direct):
Zr1 0.3598 0.3165 0.9640
Zr2 0.6402 0.6835 0.0360
Co1 0.7147 0.1660 0.4046
Co2 0.2853 0.8340 0.5954
Pu1 0.9422 0.7779 0.3377
Pu2 0.0578 0.2221 0.6623

Output
Energy above the most stable polymorph in this dataset, meV per atom: 0
Formation energy from the elements, meV per atom: 0
VASP energy, eV/atom: -9.9950



Entry from Alexandria via LeMat-Bulk: a relaxed structure of Rb4Co (PBE).

a b c (Å): 7.0583 7.0583 7.0583
angles (deg): 90.00 90.00 90.00
Positions (direct):
Co1 0.5000 0.5000 0.5000
Rb1 0.0000 0.0000 0.0000
Rb2 0.5000 0.0000 0.5000
Rb3 0.0000 0.5000 0.5000
Rb4 0.5000 0.5000 0.0000

Output
Formation energy from the elements, meV per atom: 599
VASP energy, eV/atom: -1.5959



Entry from Alexandria via LeMat-Bulk: a relaxed structure of Rb3Co (PBE).

a b c (Å): 6.6700 6.6700 6.6700
angles (deg): 60.00 60.00 60.00
Positions (direct):
Rb1 0.2500 0.2500 0.2500
Rb2 0.7500 0.7500 0.7500
Rb3 0.5000 0.5000 0.5000
Co1 0.0000 0.0000 0.0000

Output
Formation energy from the elements, meV per atom: 852
VASP energy, eV/atom: -1.6505



Entry from Alexandria via LeMat-Bulk: a relaxed structure of Rb2CoRe (PBE).

a b c (Å): 5.8193 5.8193 5.8193
angles (deg): 60.00 60.00 60.00
Positions (direct):
Re1 0.5000 0.5000 0.5000
Co1 0.0000 0.0000 0.0000
Rb1 0.2500 0.2500 0.2500
Rb2 0.7500 0.7500 0.7500

Output
Energy above the most stable polymorph in this dataset, meV per atom: 961
Formation energy from the elements, meV per atom: 2421
VASP energy, eV/atom: -2.9512



> Among the records above, which one has the lowest formation energy from the elements?

PuZr3Co8